[1]
DFT (PBE) results for an optimized crystal structure of LiHoSO.

Lattice parameters (Å, degrees): 3.822 3.822 8.580 90.00 90.00 90.00
Space group P4/nmm (No. 129, origin choice 2)
Symmetry-distinct sites (fractional):
Li1 0.250 0.750 0.000
Ho1 0.250 0.250 0.368
S1 0.250 0.250 0.826
O1 0.250 0.750 0.500

Its density of states at the Fermi level is 0.0 states/eV per cell. The raw formation energy is -2.453 eV per atom. For the volume, the calculation gives 15.67 Å³/atom.



[2]
DFT (PBE) results for an optimized crystal structure of LiHoS2O8.

Lattice parameters (Å, degrees): 7.543 7.543 5.947 90.00 90.00 90.00
Space group P-4n2 (No. 118)
Symmetry-distinct sites (fractional):
Li1 0.000 0.500 0.250
Ho1 0.000 0.500 0.750
S1 0.224 0.276 0.250
O1 0.092 0.793 0.834
O2 0.093 0.320 0.435

Its density of states at the Fermi level is 0.0 states/eV per cell. The raw formation energy is -1.933 eV per atom. For the volume, the calculation gives 14.10 Å³/atom.